Entry 1:
Entry from Alexandria: an optimized crystal structure of Al2AgRh (PBE).

Calculated values
- Formation energy from the elements: -0.48 eV per atom
- Final energy: -4.9029 eV/atom
- Symmetry: Imm2, No. 44

Lattice parameters (Å, degrees): 5.1059 5.1059 5.1059 140.41 133.92 62.34
Closest atoms and distances in Å follow each position.
Sites, in units of the cell vectors:
Rh (0.5117, 0.5117, 0.0000)  6 Al 2.62-2.65, 4 Ag 2.85-2.90
Al (0.9988, 0.9988, 0.0000)  4 Rh 2.65, 4 Ag 2.81-2.94, 4 Al 2.87-2.88
Al (0.7368, 0.2368, 0.5000)  2 Rh 2.62, 4 Ag 2.65, 4 Al 2.87-2.88
Ag (0.2527, 0.7527, 0.5000)  8 Al 2.65-2.94, 4 Rh 2.85-2.90

***

Entry 2:
Entry from Alexandria: an optimized crystal structure of MnTc2S (PBE).

Calculated values
- Raw formation energy: 0.4876 eV/atom
- Final energy: -8.0196 eV/atom
- Symmetry: I-42d, No. 122

Lattice parameters (Å, degrees): 5.2628 5.2628 6.3794 65.64 65.64 90.00
Closest atoms and distances in Å follow each position.
Sites, in units of the cell vectors:
S (0.5000, 0.5000, 0.0000)  4 Tc 2.28
S (0.2500, 0.7500, 0.5000)  4 Tc 2.28
Mn (0.0000, 0.0000, 0.0000)  4 Tc 2.25
Mn (0.7500, 0.2500, 0.5000)  4 Tc 2.25
Tc (0.6296, 0.1250, 0.2500)  2 Mn 2.25, 2 S 2.28
Tc (0.1204, 0.6250, 0.2500)  2 Mn 2.25, 2 S 2.28
Tc (0.3750, 0.3704, 0.7500)  2 Mn 2.25, 2 S 2.28
Tc (0.8750, 0.8796, 0.7500)  2 Mn 2.25, 2 S 2.28

***

Entry 3:
Entry from Alexandria: an optimized crystal structure of GdTh2Sc (PBE).

Calculated values
- Formation energy from the elements: 0.06 eV per atom
- Final energy: -8.7574 eV/atom
- Symmetry: P4/mmm, No. 123

Lattice parameters (Å, degrees): 4.9142 4.9654 4.9654 90.00 90.00 90.00
Closest atoms and distances in Å follow each position.
Sites, in units of the cell vectors:
Sc (0.5000, 0.0000, 0.0000)  8 Th 3.49, 4 Gd 3.51
Gd (0.5000, 0.5000, 0.5000)  8 Th 3.49, 4 Sc 3.51
Th (0.0000, 0.0000, 0.5000)  4 Gd 3.49, 4 Sc 3.49, 4 Th 3.51
Th (0.0000, 0.5000, 0.0000)  4 Gd 3.49, 4 Sc 3.49, 4 Th 3.51

***

Entry 4:
Entry from Alexandria: an optimized crystal structure of WAu2 (PBE).

Calculated values
- Formation energy from the elements: 0.32 eV per atom
- Final energy: -6.1857 eV/atom
- Symmetry: P-3m1, No. 164

Lattice parameters (Å, degrees): 2.8911 2.8911 7.1127 90.00 90.00 120.00
Closest atoms and distances in Å follow each position.
Sites, in units of the cell vectors:
Au (0.0000, 0.0000, 0.0079)  3 W 2.85, 9 Au 2.89-2.99
Au (0.3333, 0.6667, 0.6588)  3 W 2.85, 9 Au 2.89-2.99
W (0.6667, 0.3333, 0.3333)  6 Au 2.85, 6 W 2.89

***

Entry 5:
Entry from Alexandria: an optimized crystal structure of CrReAu2 (PBE).

Calculated values
- Formation energy from the elements: 0.33 eV per atom
- Final energy: -6.8260 eV/atom
- Symmetry: Pm, No. 6

Lattice parameters (Å, degrees): 3.7126 2.8682 6.5584 66.40 90.00 90.00
Closest atoms and distances in Å follow each position.
Sites, in units of the cell vectors:
Au (0.0000, 0.9990, 0.9890)  1 Cr 2.78, 4 Re 2.82-2.90, 6 Au 2.87
Au (0.5000, 0.2473, 0.2638)  1 Re 2.74, 4 Cr 2.80-2.88, 6 Au 2.87
Cr (0.0000, 0.5342, 0.5299)  2 Re 2.40
Re (0.5000, 0.7195, 0.7173)  2 Cr 2.40

***

Entry 6:
Entry from Alexandria: an optimized crystal structure of SiPPtCl2 (PBE).

Calculated values
- Raw formation energy: 0.5435 eV/atom
- Final energy: -3.5699 eV/atom
- Symmetry: P4/mmm, No. 123

Lattice parameters (Å, degrees): 4.8605 4.8605 4.7149 90.00 90.00 90.00
Closest atoms and distances in Å follow each position.
Sites, in units of the cell vectors:
P (0.0000, 0.0000, 0.5000)  2 Pt 2.36
Si (0.5000, 0.5000, 0.5000)  8 Cl 3.39, 4 P 3.44
Pt (0.0000, 0.0000, 0.0000)  2 P 2.36, 4 Cl 2.43
Cl (0.0000, 0.5000, 0.0000)  2 Pt 2.43
Cl (0.5000, 0.0000, 0.0000)  2 Pt 2.43

***

Entry 7:
Entry from Alexandria: an optimized crystal structure of PmPrNd5Tm2 (PBE).

Calculated values
- Formation energy from the elements: 0.15 eV per atom
- Final energy: -4.5516 eV/atom
- Symmetry: Cmc2_1, No. 36

Lattice parameters (Å, degrees): 5.7262 10.6787 10.6409 90.00 90.00 105.55
Closest atoms and distances in Å follow each position.
Sites, in units of the cell vectors:
Pm (0.8006, 0.6012, 0.5115)  2 Tm 3.45-3.72, 7 Nd 3.53-3.81, 2 Pr 3.75
Pm (0.1994, 0.3988, 0.0115)  2 Tm 3.45-3.72, 7 Nd 3.53-3.81, 2 Pr 3.75
Pr (0.5867, 0.1734, 0.9475)  5 Nd 3.10-3.38
Pr (0.4133, 0.8266, 0.4475)  5 Nd 3.10-3.38
Nd (0.3904, 0.7809, 0.0271)  6 Nd 3.52-3.93, 4 Tm 3.60-3.61, 1 Pm 3.93
Nd (0.7200, 0.4399, 0.8113)  1 Pr 3.10, 1 Tm 3.35, 2 Nd 3.45
Nd (0.4761, 0.9522, 0.7406)  2 Pr 3.17-3.38, 1 Nd 3.52
Nd (0.2962, 0.5924, 0.7058)  3 Nd 3.45-3.72, 3 Pm 3.53-3.81, 3 Tm 3.60-3.78, 1 Pr 3.66
Nd (0.9838, 0.9675, 0.5231)  2 Pr 3.31, 3 Tm 3.47-3.66, 2 Nd 3.69
Nd (0.6096, 0.2191, 0.5271)  6 Nd 3.52-3.93, 4 Tm 3.60-3.61, 1 Pm 3.93
Nd (0.2800, 0.5601, 0.3113)  1 Pr 3.10, 1 Tm 3.35, 2 Nd 3.45
Nd (0.5239, 0.0478, 0.2406)  2 Pr 3.17-3.38, 1 Nd 3.52
Nd (0.7038, 0.4076, 0.2058)  3 Nd 3.45-3.72, 3 Pm 3.53-3.81, 3 Tm 3.60-3.78, 1 Pr 3.66
Nd (0.0162, 0.0325, 0.0231)  2 Pr 3.31, 3 Tm 3.47-3.66, 2 Nd 3.69
Tm (0.8827, 0.7654, 0.8233)  8 Nd 3.35-3.60, 1 Pm 3.72
Tm (0.1128, 0.2257, 0.7337)  1 Pm 3.45, 7 Nd 3.48-3.78, 2 Pr 3.70
Tm (0.1173, 0.2346, 0.3233)  8 Nd 3.35-3.60, 1 Pm 3.72
Tm (0.8872, 0.7743, 0.2337)  1 Pm 3.45, 7 Nd 3.48-3.78, 2 Pr 3.70

***

Entry 8:
Entry from Alexandria: an optimized crystal structure of AcPu2Ga (PBE).

Calculated values
- Formation energy from the elements: 0.15 eV per atom
- Final energy: -8.7962 eV/atom
- Symmetry: Fm-3m, No. 225

Lattice parameters (Å, degrees): 5.3667 5.3667 5.3667 60.00 60.00 60.00
Closest atoms and distances in Å follow each position.
Sites, in units of the cell vectors:
Ac (0.0000, 0.0000, 0.0000)  8 Pu 3.29
Ga (0.5000, 0.5000, 0.5000)  8 Pu 3.29
Pu (0.2500, 0.2500, 0.2500)  4 Ga 3.29, 4 Ac 3.29
Pu (0.7500, 0.7500, 0.7500)  4 Ac 3.29, 4 Ga 3.29

***

Entry 9:
Entry from Alexandria: an optimized crystal structure of Ce2Ga4NiIr3 (PBE).

Calculated values
- Formation energy from the elements: -0.65 eV per atom
- Final energy: -6.2847 eV/atom
- Symmetry: P-4m2, No. 115

Lattice parameters (Å, degrees): 4.1363 4.1363 10.6915 90.00 90.00 90.00
Closest atoms and distances in Å follow each position.
Sites, in units of the cell vectors:
Ce (0.5000, 0.0000, 0.2499)  6 Ir 3.15-3.38, 8 Ga 3.22-3.38, 2 Ni 3.38
Ce (0.0000, 0.5000, 0.7501)  6 Ir 3.15-3.38, 8 Ga 3.22-3.38, 2 Ni 3.38
Ga (0.5000, 0.5000, 0.0000)  4 Ir 2.56
Ga (0.0000, 0.0000, 0.0000)  4 Ir 2.56
Ga (0.5000, 0.0000, 0.6246)  2 Ni 2.46, 3 Ir 2.46-2.50
Ga (0.0000, 0.5000, 0.3754)  3 Ir 2.46-2.50, 2 Ni 2.46
Ni (0.5000, 0.5000, 0.5000)  4 Ga 2.46
Ir (0.0000, 0.0000, 0.5000)  4 Ga 2.46
Ir (0.5000, 0.0000, 0.8583)  5 Ga 2.50-2.56
Ir (0.0000, 0.5000, 0.1417)  5 Ga 2.50-2.56

***

Entry 10:
Entry from Alexandria: an optimized crystal structure of HfHgH3 (PBE).

Calculated values
- Final energy: -4.0534 eV/atom
- Symmetry: Pm-3m, No. 221

Lattice parameters (Å, degrees): 3.8637 3.8637 3.8637 90.00 90.00 90.00
Closest atoms and distances in Å follow each position.
Sites, in units of the cell vectors:
H (0.0000, 0.5000, 0.0000)  2 Hf 1.93
H (0.0000, 0.0000, 0.5000)  2 Hf 1.93
H (0.5000, 0.0000, 0.0000)  2 Hf 1.93
Hf (0.0000, 0.0000, 0.0000)  6 H 1.93
Hg (0.5000, 0.5000, 0.5000)  12 H 2.73

***

Entry 11:
Entry from Alexandria: an optimized crystal structure of Cs3Pr2ErTe6 (PBE).

Calculated values
- Raw formation energy: -1.3992 eV/atom
- Final energy: -4.3602 eV/atom
- Symmetry: C2/m, No. 12

Lattice parameters (Å, degrees): 8.0521 8.0521 9.3395 98.27 98.27 120.00
Closest atoms and distances in Å follow each position.
Sites, in units of the cell vectors:
Cs (0.1696, 0.8304, 0.5000)  6 Te 3.81-3.88
Cs (0.8304, 0.1696, 0.5000)  6 Te 3.81-3.88
Cs (0.5000, 0.5000, 0.5000)  6 Te 3.81-3.90
Pr (0.3337, 0.6663, 0.0000)  6 Te 3.23
Pr (0.6663, 0.3337, 0.0000)  6 Te 3.23
Er (0.0000, 0.0000, 0.0000)  6 Te 3.12
Te (0.9358, 0.6131, 0.8072)  1 Er 3.12, 2 Pr 3.23
Te (0.7422, 0.7422, 0.1940)  1 Er 3.12, 2 Pr 3.23
Te (0.0642, 0.3869, 0.1928)  1 Er 3.12, 2 Pr 3.23
Te (0.6131, 0.9358, 0.8072)  1 Er 3.12, 2 Pr 3.23
Te (0.2578, 0.2578, 0.8060)  1 Er 3.12, 2 Pr 3.23
Te (0.3869, 0.0642, 0.1928)  1 Er 3.12, 2 Pr 3.23

***

Entry 12:
Entry from Alexandria: an optimized crystal structure of KZrMo2 (PBE).

Calculated values
- Formation energy from the elements: 0.55 eV per atom
- Final energy: -7.2729 eV/atom
- Symmetry: P4mm, No. 99

Lattice parameters (Å, degrees): 3.2040 3.2040 9.7368 90.00 90.00 90.00
Closest atoms and distances in Å follow each position.
Sites, in units of the cell vectors:
K (0.5000, 0.5000, 0.7776)  4 K 3.20
Mo (0.0000, 0.0000, 0.0884)  4 Mo 2.63
Mo (0.5000, 0.5000, 0.2258)  4 Mo 2.63, 4 Zr 2.88
Zr (0.0000, 0.0000, 0.4082)  5 Mo 2.88-3.11, 4 Zr 3.20

***

Entry 13:
Entry from Alexandria: an optimized crystal structure of GdAlGaHg (PBE).

Calculated values
- Formation energy from the elements: -0.27 eV per atom
- Final energy: -5.5613 eV/atom
- Symmetry: F-43m, No. 216

Lattice parameters (Å, degrees): 4.9708 4.9708 4.9708 60.00 60.00 60.00
Closest atoms and distances in Å follow each position.
Sites, in units of the cell vectors:
Gd (0.0000, 0.0000, 0.0000)  4 Ga 3.04, 4 Hg 3.04
Hg (0.7500, 0.7500, 0.7500)  4 Al 3.04, 4 Gd 3.04
Ga (0.2500, 0.2500, 0.2500)  4 Gd 3.04, 4 Al 3.04
Al (0.5000, 0.5000, 0.5000)  4 Hg 3.04, 4 Ga 3.04

***

Entry 14:
Entry from Alexandria: an optimized crystal structure of MgCd6Au8 (PBE).

Calculated values
- Formation energy from the elements: -0.16 eV per atom
- Final energy: -2.3847 eV/atom
- Symmetry: R-3, No. 148

Lattice parameters (Å, degrees): 8.2127 8.2127 7.2458 55.48 55.48 60.00
Closest atoms and distances in Å follow each position.
Sites, in units of the cell vectors:
Mg (0.0000, 0.0000, 0.0000)  8 Au 2.88-3.04
Cd (0.4190, 0.1359, 0.7923)  5 Au 2.80-3.02, 1 Cd 3.13
Cd (0.8641, 0.3472, 0.2077)  5 Au 2.80-3.02, 1 Cd 3.13
Cd (0.3472, 0.5810, 0.2077)  5 Au 2.80-3.02, 1 Cd 3.13
Cd (0.6528, 0.4190, 0.7923)  5 Au 2.80-3.02, 1 Cd 3.13
Cd (0.1359, 0.6528, 0.7923)  5 Au 2.80-3.02, 1 Cd 3.13
Cd (0.5810, 0.8641, 0.2077)  5 Au 2.80-3.02, 1 Cd 3.13
Au (0.5944, 0.1786, 0.2890)  5 Cd 2.80-3.02, 3 Au 2.82-3.06, 1 Mg 2.88
Au (0.8214, 0.0620, 0.7110)  5 Cd 2.80-3.02, 3 Au 2.82-3.06, 1 Mg 2.88
Au (0.0620, 0.4056, 0.7110)  5 Cd 2.80-3.02, 3 Au 2.82-3.06, 1 Mg 2.88
Au (0.8148, 0.8148, 0.5557)  6 Au 2.82-2.86, 1 Mg 3.04
Au (0.1852, 0.1852, 0.4443)  6 Au 2.82-2.86, 1 Mg 3.04
Au (0.9380, 0.5944, 0.2890)  5 Cd 2.80-3.02, 3 Au 2.82-3.06, 1 Mg 2.88
Au (0.1786, 0.9380, 0.2890)  5 Cd 2.80-3.02, 3 Au 2.82-3.06, 1 Mg 2.88
Au (0.4056, 0.8214, 0.7110)  5 Cd 2.80-3.02, 3 Au 2.82-3.06, 1 Mg 2.88

***

Entry 15:
Entry from Alexandria: an optimized crystal structure of Co2CuSb (PBE).

Calculated values
- Raw formation energy: 0.5144 eV/atom
- Final energy: -5.0932 eV/atom
- Symmetry: R3m, No. 160

Lattice parameters (Å, degrees): 8.1446 8.1446 8.1446 21.03 21.03 21.03
Closest atoms and distances in Å follow each position.
Sites, in units of the cell vectors:
Co (0.9916, 0.9916, 0.9916)  3 Co 2.40
Co (0.2549, 0.2549, 0.2549)  3 Co 2.40, 3 Cu 2.56
Cu (0.5085, 0.5085, 0.5085)  3 Co 2.56
Sb (0.7450, 0.7450, 0.7450)  3 Co 2.69, 3 Cu 2.88, 6 Sb 2.97

***

Entry 16:
Entry from Alexandria: an optimized crystal structure of Ba5Pd2Au5 (PBE).

Calculated values
- Formation energy from the elements: -0.67 eV per atom
- Final energy: -3.6986 eV/atom
- Symmetry: C2/m, No. 12

Lattice parameters (Å, degrees): 4.5840 8.8015 9.8961 85.82 76.61 74.91
Closest atoms and distances in Å follow each position.
Sites, in units of the cell vectors:
Ba (0.0000, 0.5000, 0.5000)  4 Pd 3.39, 6 Au 3.54-3.62
Ba (0.6963, 0.6929, 0.9144)  7 Au 3.35-3.58, 3 Pd 3.36-3.41
Ba (0.3800, 0.9211, 0.3188)  5 Au 3.29-3.50, 1 Pd 3.38
Ba (0.6200, 0.0789, 0.6812)  5 Au 3.29-3.50, 1 Pd 3.38
Ba (0.3037, 0.3071, 0.0856)  7 Au 3.35-3.58, 3 Pd 3.36-3.41
Pd (0.3877, 0.4659, 0.7587)  3 Au 2.80
Pd (0.6123, 0.5341, 0.2413)  3 Au 2.80
Au (0.7072, 0.2298, 0.3558)  1 Pd 2.80
Au (0.9362, 0.2953, 0.8323)  2 Pd 2.80, 1 Au 2.97
Au (0.0638, 0.7047, 0.1677)  2 Pd 2.80, 1 Au 2.97
Au (0.2928, 0.7702, 0.6442)  1 Pd 2.80
Au (0.0000, 0.0000, 0.0000)  2 Au 2.97

***

Entry 17:
Entry from Alexandria: an optimized crystal structure of Th3ZrSc6 (PBE).

Calculated values
- Formation energy from the elements: 0.16 eV per atom
- Final energy: -6.7185 eV/atom
- Symmetry: Cmc2_1, No. 36

Lattice parameters (Å, degrees): 5.6467 10.5325 10.5325 119.75 90.00 90.00
Closest atoms and distances in Å follow each position.
Sites, in units of the cell vectors:
Th (0.4687, 0.9464, 0.7214)  7 Sc 3.15-3.45, 1 Zr 3.16, 1 Th 3.51
Th (0.9687, 0.7214, 0.9464)  7 Sc 3.15-3.45, 1 Zr 3.16, 1 Th 3.51
Th (0.0483, 0.3811, 0.6189)  5 Sc 3.19-3.45, 1 Zr 3.20, 2 Th 3.56
Th (0.5483, 0.6189, 0.3811)  5 Sc 3.19-3.45, 1 Zr 3.20, 2 Th 3.56
Th (0.9687, 0.0536, 0.2786)  7 Sc 3.15-3.45, 1 Zr 3.16, 1 Th 3.51
Th (0.4687, 0.2786, 0.0536)  7 Sc 3.15-3.45, 1 Zr 3.16, 1 Th 3.51
Zr (0.1148, 0.2065, 0.7935)  5 Sc 2.94-3.05, 3 Th 3.16-3.20
Zr (0.6148, 0.7935, 0.2065)  5 Sc 2.94-3.05, 3 Th 3.16-3.20
Sc (0.0160, 0.7076, 0.6178)  5 Sc 3.22-3.59, 4 Th 3.37-3.45
Sc (0.5160, 0.6178, 0.7076)  5 Sc 3.22-3.59, 4 Th 3.37-3.45
Sc (0.3980, 0.5363, 0.9579)  4 Sc 2.91-3.22, 1 Zr 2.94, 1 Th 3.15
Sc (0.8980, 0.9579, 0.5363)  4 Sc 2.91-3.22, 1 Zr 2.94, 1 Th 3.15
Sc (0.4416, 0.9523, 0.0477)  1 Zr 3.05, 2 Sc 3.32, 4 Th 3.41
Sc (0.6153, 0.2689, 0.7311)  2 Sc 2.91, 2 Zr 3.04-3.05, 1 Th 3.19
Sc (0.1153, 0.7311, 0.2689)  2 Sc 2.91, 2 Zr 3.04-3.05, 1 Th 3.19
Sc (0.9416, 0.0477, 0.9523)  1 Zr 3.05, 2 Sc 3.32, 4 Th 3.41
Sc (0.3980, 0.0421, 0.4637)  4 Sc 2.91-3.22, 1 Zr 2.94, 1 Th 3.15
Sc (0.8980, 0.4637, 0.0421)  4 Sc 2.91-3.22, 1 Zr 2.94, 1 Th 3.15
Sc (0.0160, 0.3822, 0.2924)  5 Sc 3.22-3.59, 4 Th 3.37-3.45
Sc (0.5160, 0.2924, 0.3822)  5 Sc 3.22-3.59, 4 Th 3.37-3.45

***

Entry 18:
Entry from Alexandria: an optimized crystal structure of NbZnRu2 (PBE).

Calculated values
- Formation energy from the elements: -0.26 eV per atom
- Final energy: -7.7317 eV/atom
- Symmetry: P4/mmm, No. 123

Lattice parameters (Å, degrees): 3.1608 3.1608 5.9925 90.00 90.00 90.00
Closest atoms and distances in Å follow each position.
Sites, in units of the cell vectors:
Ru (0.0000, 0.0000, 0.7561)  4 Zn 2.67, 4 Nb 2.71, 1 Ru 2.92
Ru (0.0000, 0.0000, 0.2439)  4 Zn 2.67, 4 Nb 2.71, 1 Ru 2.92
Nb (0.5000, 0.5000, 0.5000)  8 Ru 2.71, 2 Zn 3.00
Zn (0.5000, 0.5000, 0.0000)  8 Ru 2.67

***

Entry 19:
Entry from Alexandria: an optimized crystal structure of Mn2RuPt (PBE).

Calculated values
- Formation energy from the elements: -0.13 eV per atom
- Final energy: -8.5421 eV/atom
- Symmetry: P4/mmm, No. 123

Lattice parameters (Å, degrees): 3.1013 3.1013 5.9418 90.00 90.00 90.00
Closest atoms and distances in Å follow each position.
Sites, in units of the cell vectors:
Ru (0.5000, 0.5000, 0.7500)  8 Mn 2.62
Mn (0.0000, 0.0000, 0.9922)  4 Ru 2.62, 4 Pt 2.67, 1 Mn 2.88
Mn (0.0000, 0.0000, 0.5078)  4 Ru 2.62, 4 Pt 2.67, 1 Mn 2.88
Pt (0.5000, 0.5000, 0.2500)  8 Mn 2.67, 2 Ru 2.97

***

Entry 20:
Entry from Alexandria: an optimized crystal structure of PrMgSi (PBE).

Calculated values
- Raw formation energy: -0.3784 eV/atom
- Final energy: -4.3107 eV/atom
- Symmetry: F-43m, No. 216

Lattice parameters (Å, degrees): 4.7925 4.7925 4.7925 60.00 60.00 60.00
Closest atoms and distances in Å follow each position.
Sites, in units of the cell vectors:
Pr (0.0000, 0.0000, 0.0000)  4 Si 2.93
Si (0.2500, 0.2500, 0.2500)  4 Mg 2.93, 4 Pr 2.93
Mg (0.5000, 0.5000, 0.5000)  4 Si 2.93